No. 1
Below is a relaxed CaGaF2 crystal, with properties calculated at the PBEsol level.

Cell: 4.4177 4.4177 4.4177 Å, 60.00 60.00 60.00°
With the nearest neighbours (Å) after each atom.
Element x y z (fractional)
F  0.2500  0.2500  0.2500  4 Ca 2.71, 4 Ga 2.71
F  0.7500  0.7500  0.7500  4 Ga 2.71, 4 Ca 2.71
Ca  0.0000  0.0000  0.0000  8 F 2.71
Ga  0.5000  0.5000  0.5000  8 F 2.71

Results
space-group type	No. 225
crystal system	cubic
D(E_F)	2.989	states/eV/cell
formation energy from raw total energies	-1.934	eV per atom

***

No. 2
Below is a relaxed CdSnPb2 crystal, with properties calculated at the PBEsol level.

Cell: 5.3484 5.3484 5.3484 Å, 60.00 60.00 60.00°
With the nearest neighbours (Å) after each atom.
Element x y z (fractional)
Pb  0.2500  0.2500  0.2500  4 Sn 3.28, 4 Cd 3.28
Pb  0.7500  0.7500  0.7500  4 Sn 3.28, 4 Cd 3.28
Cd  0.0000  0.0000  0.0000  8 Pb 3.28
Sn  0.5000  0.5000  0.5000  8 Pb 3.28

Results
energy of formation from the pure elements	0.07	eV per atom
space-group type	No. 225
crystal system	cubic
D(E_F)	2.594	states/eV/cell

***

> What is the formula in the second record?

CdSnPb2

***

> What is the D(E_F) in the second record?

2.594 states/eV/cell

***

> D(E_F) of number 2 (CdSnPb2)?

2.594 states/eV/cell